[1]
! Sn2PtW | the Alexandria database | PBE | relaxed; values from VASP
! **Magnetic moment**: 1.5 μB/f.u.
! **Total energy**: -6.11 eV per atom
! **Calculated density**: 12.2 g/cm³
! **Energy of formation**: 638 meV/atom
&SYSTEM
  ibrav = 0, nat = 16, ntyp = 3
/
ATOMIC_SPECIES
Sn 118.71 Sn.upf
Pt 195.08 Pt.upf
W 183.84 W.upf
CELL_PARAMETERS angstrom
7.487 0.000 0.000
0.000 7.487 0.000
0.000 0.000 5.981
ATOMIC_POSITIONS crystal
Sn 0.235 0.250 0.125
Sn 0.250 0.735 0.375
Sn 0.250 0.765 0.875
Sn 0.265 0.250 0.625
Sn 0.735 0.750 0.625
Sn 0.750 0.235 0.875
Sn 0.750 0.265 0.375
Sn 0.765 0.750 0.125
Pt 0.000 0.000 0.000
Pt 0.000 0.500 0.250
Pt 0.500 0.000 0.750
Pt 0.500 0.500 0.500
W 0.000 0.000 0.500
W 0.000 0.500 0.750
W 0.500 0.000 0.250
W 0.500 0.500 0.000

=====

[2]
! Nd2GdEr | the Alexandria database | PBE | relaxed; values from VASP
! **Magnetic moment**: 7.3 μB/f.u.
! **Total energy**: -7.03 eV per atom
! **Calculated density**: 7.6 g/cm³
! **Energy of formation**: 17 meV/atom
&SYSTEM
  ibrav = 0, nat = 4, ntyp = 3
/
ATOMIC_SPECIES
Nd 144.24 Nd.upf
Gd 157.25 Gd.upf
Er 167.26 Er.upf
CELL_PARAMETERS angstrom
3.628 0.000 0.000
0.000 3.628 0.000
0.000 0.000 10.144
ATOMIC_POSITIONS crystal
Nd 0.000 0.000 0.247
Nd 0.000 0.000 0.753
Gd 0.500 0.500 0.500
Er 0.500 0.500 0.000

=====

[3]
! LiHoTlSn | the Alexandria database | PBE | relaxed; values from VASP
! **Magnetic moment**: 0.0 μB/f.u.
! **Total energy**: -3.64 eV per atom
! **Calculated density**: 8.6 g/cm³
! **Energy of formation**: -426 meV/atom
&SYSTEM
  ibrav = 0, nat = 4, ntyp = 4
/
ATOMIC_SPECIES
Li 6.94 Li.upf
Ho 164.93 Ho.upf
Tl 204.38 Tl.upf
Sn 118.71 Sn.upf
CELL_PARAMETERS angstrom
4.371 0.000 0.000
0.000 4.561 0.000
0.000 0.000 4.779
ATOMIC_POSITIONS crystal
Li 0.000 0.000 0.000
Ho 0.000 0.500 0.500
Tl 0.500 0.500 0.000
Sn 0.500 0.000 0.500

=====

[4]
! TiBe2Ir | the Alexandria database | PBE | relaxed; values from VASP
! **Magnetic moment**: 0.0 μB/f.u.
! **Total energy**: -6.61 eV per atom
! **Calculated density**: 9.3 g/cm³
! **Energy of formation**: -562 meV/atom
&SYSTEM
  ibrav = 0, nat = 16, ntyp = 3
/
ATOMIC_SPECIES
Ti 47.87 Ti.upf
Be 9.01 Be.upf
Ir 192.22 Ir.upf
CELL_PARAMETERS angstrom
5.683 0.000 0.000
0.000 5.683 0.000
0.000 0.000 5.683
ATOMIC_POSITIONS crystal
Ti 0.000 0.000 0.000
Ti 0.000 0.500 0.500
Ti 0.500 0.000 0.500
Ti 0.500 0.500 0.000
Be 0.250 0.250 0.250
Be 0.250 0.250 0.750
Be 0.250 0.750 0.250
Be 0.250 0.750 0.750
Be 0.750 0.250 0.250
Be 0.750 0.250 0.750
Be 0.750 0.750 0.250
Be 0.750 0.750 0.750
Ir 0.000 0.000 0.500
Ir 0.000 0.500 0.000
Ir 0.500 0.000 0.000
Ir 0.500 0.500 0.500

=====

[5]
! GeAsN | the Alexandria database | PBE | relaxed; values from VASP
! **Magnetic moment**: 0.0 μB/f.u.
! **E_form (uncorrected)**: 0.85 eV per formula unit
! **Total energy**: -5.58 eV per atom
! **Calculated density**: 4.3 g/cm³
&SYSTEM
  ibrav = 0, nat = 6, ntyp = 3
/
ATOMIC_SPECIES
Ge 72.64 Ge.upf
As 74.92 As.upf
N 14.01 N.upf
CELL_PARAMETERS angstrom
4.770 0.000 0.000
-1.043 4.664 0.000
-0.029 -0.336 5.607
ATOMIC_POSITIONS crystal
Ge 0.233 0.233 0.000
Ge 0.767 0.767 0.000
As 0.367 0.659 0.295
As 0.633 0.341 0.705
N 0.162 0.847 0.085
N 0.838 0.153 0.915

=====

[6]
! SrAg6As2 | the Alexandria database | PBE | relaxed; values from VASP
! **Magnetic moment**: 0.0 μB/f.u.
! **Total energy**: -3.36 eV per atom
! **Calculated density**: 7.9 g/cm³
! **Energy of formation**: -238 meV/atom
&SYSTEM
  ibrav = 0, nat = 9, ntyp = 3
/
ATOMIC_SPECIES
Sr 87.62 Sr.upf
Ag 107.87 Ag.upf
As 74.92 As.upf
CELL_PARAMETERS angstrom
4.290 0.000 0.000
0.000 4.290 0.000
0.000 0.000 10.066
ATOMIC_POSITIONS crystal
Sr 0.000 0.000 0.000
Ag 0.000 0.000 0.500
Ag 0.000 0.500 0.300
Ag 0.000 0.500 0.700
Ag 0.500 0.000 0.300
Ag 0.500 0.000 0.700
Ag 0.500 0.500 0.500
As 0.500 0.500 0.134
As 0.500 0.500 0.866